Density functional theory data (PBE-GGA) for La5In11Ni6 after structural relaxation.

The structure in POSCAR format:
```
La5In11Ni6
1.0
7.405 -7.407 0.000
7.405 7.407 0.000
0.000 0.000 4.495
La In Ni
5 11 6
Direct
0.000 0.000 0.000 La
0.188 0.537 0.500 La
0.463 0.812 0.500 La
0.537 0.188 0.500 La
0.812 0.463 0.500 La
0.037 0.346 0.000 In
0.193 0.193 0.500 In
0.226 0.774 0.000 In
0.338 0.338 0.000 In
0.346 0.037 0.000 In
0.500 0.500 0.500 In
0.654 0.963 0.000 In
0.662 0.662 0.000 In
0.774 0.226 0.000 In
0.807 0.807 0.500 In
0.963 0.654 0.000 In
0.057 0.777 0.500 Ni
0.223 0.943 0.500 Ni
0.408 0.592 0.000 Ni
0.592 0.408 0.000 Ni
0.777 0.057 0.500 Ni
0.943 0.223 0.500 Ni
```

For the formation energy, the calculation gives -441.5 meV per atom. Its energy is -4.507 eV per atom. The calculation puts the density of states at the Fermi level at 10.594 states/eV/f.u.

Density functional theory data (PBE-GGA) for La2In2Ni15 after structural relaxation.

The structure in POSCAR format:
```
La2In2Ni15
1.0
4.283 2.473 4.200
-4.283 2.473 4.200
0.000 -4.946 4.200
La In Ni
2 2 15
Direct
0.145 0.145 0.145 La
0.855 0.855 0.855 La
0.393 0.393 0.393 In
0.607 0.607 0.607 In
0.000 0.500 0.500 Ni
0.154 0.154 0.656 Ni
0.154 0.656 0.154 Ni
0.201 0.500 0.799 Ni
0.201 0.799 0.500 Ni
0.344 0.846 0.846 Ni
0.500 0.000 0.500 Ni
0.500 0.201 0.799 Ni
0.500 0.500 0.000 Ni
0.500 0.799 0.201 Ni
0.656 0.154 0.154 Ni
0.799 0.201 0.500 Ni
0.799 0.500 0.201 Ni
0.846 0.344 0.846 Ni
0.846 0.846 0.344 Ni
```

For the formation energy, the calculation gives -148.9 meV per atom. Its energy is -5.520 eV per atom. The calculation puts the density of states at the Fermi level at 25.765 states/eV/f.u.

Density functional theory data (PBE-GGA) for LaInNi2 after structural relaxation.

The structure in POSCAR format:
```
LaInNi2
1.0
3.316 0.000 0.000
0.000 3.316 0.000
0.000 0.000 7.007
La In Ni
1 1 2
Direct
0.000 0.000 0.000 La
0.500 0.500 0.620 In
0.000 0.000 0.406 Ni
0.500 0.500 0.247 Ni
```

For the formation energy, the calculation gives -128.1 meV per atom. Its energy is -4.935 eV per atom. The calculation puts the density of states at the Fermi level at 2.825 states/eV/f.u.